1.
Material: Sr2TcCBr
Method: DFT, PBE
State: relaxed

Properties
**Magnetic moment**: 1.0 Bohr magnetons per cell
**ΔE to the lowest computed polymorph**: 0.000 eV per atom
**Formation energy from raw total energies**: -241 meV/atom
**Total energy**: -5.166 eV/atom
**DOS(E_F)**: 0.75 states/eV per atom

Cell: 5.6530 5.6530 3.9498 Å, 90.00 90.00 90.00°
Space group P4/mmm (No. 123)
Inequivalent atoms, fractional coordinates:
Sr (0.0000, 0.5000, 0.0000) (multiplicity 2)
Tc (0.0000, 0.0000, 0.5000) (multiplicity 1)
C (0.0000, 0.0000, 0.0000) (multiplicity 1)
Br (0.5000, 0.5000, 0.5000) (multiplicity 1)



2.
Material: PmPr8Er4
Method: DFT, PBE
State: relaxed

Properties
**Magnetic moment**: 0.0 Bohr magnetons per cell
**Total energy**: -4.531 eV/atom
**DOS(E_F)**: 1.07 states/eV per atom

Cell: 7.3459 7.3459 28.9836 Å, 90.00 90.00 120.00°
Space group R-3m (No. 166, hexagonal axes)
Inequivalent atoms, fractional coordinates:
Pm (0.0000, 0.0000, 0.0000) (multiplicity 3)
Pr (0.0000, 0.0000, 0.2860) (multiplicity 6)
Pr (0.0310, 0.5155, 0.2638) (multiplicity 18)
Er (0.0000, 0.0000, 0.5000) (multiplicity 3)
Er (0.0000, 0.5000, 0.5000) (multiplicity 9)



3.
Material: Li4TeI2
Method: DFT, PBE
State: relaxed

Properties
**Magnetic moment**: 0.0 Bohr magnetons per cell
**ΔE to the lowest computed polymorph**: 0.000 eV per atom
**Formation energy from raw total energies**: -1063 meV/atom
**Total energy**: -3.048 eV/atom
**DOS(E_F)**: 0.00 states/eV per atom

Cell: 8.4746 8.4746 11.9125 Å, 90.00 90.00 90.00°
Space group P4_122 (No. 91)
Inequivalent atoms, fractional coordinates:
Li (0.0250, 0.2658, 0.2586) (multiplicity 8)
Li (0.2712, 0.4654, 0.4768) (multiplicity 8)
Te (0.2394, 0.5000, 0.2500) (multiplicity 4)
I (0.0000, 0.2335, 0.5000) (multiplicity 4)
I (0.2559, 0.2559, 0.8750) (multiplicity 4)



4.
Material: ThNb2C2
Method: DFT, PBE
State: relaxed

Properties
**Magnetic moment**: 0.0 Bohr magnetons per cell
**Total energy**: -9.369 eV/atom
**DOS(E_F)**: 0.43 states/eV per atom

Cell: 7.4522 9.2606 9.4116 Å, 90.00 90.00 90.00°
Space group Fddd (No. 70, origin choice 2)
Inequivalent atoms, fractional coordinates:
Th (0.1250, 0.1250, 0.1250) (multiplicity 8)
Nb (0.1250, 0.1250, 0.4826) (multiplicity 16)
C (0.1250, 0.3328, 0.6250) (multiplicity 16)



5.
Material: Pr3N2O
Method: DFT, PBE
State: relaxed

Properties
**Magnetic moment**: 0.0 Bohr magnetons per cell
**Formation energy from raw total energies**: -1852 meV/atom
**Total energy**: -7.843 eV/atom
**DOS(E_F)**: 0.24 states/eV per atom

Cell: 3.6592 5.1861 10.9794 Å, 90.00 90.00 90.00°
Space group Immm (No. 71)
Inequivalent atoms, fractional coordinates:
Pr (0.0000, 0.0000, 0.0000) (multiplicity 2)
Pr (0.0000, 0.0000, 0.3292) (multiplicity 4)
N (0.0000, 0.5000, 0.3316) (multiplicity 4)
O (0.0000, 0.5000, 0.0000) (multiplicity 2)



6.
Material: SrLiW2
Method: DFT, PBE
State: relaxed

Properties
**Magnetic moment**: 0.0 Bohr magnetons per cell
**ΔE to the lowest computed polymorph**: 0.535 eV per atom
**Total energy**: -6.212 eV/atom
**DOS(E_F)**: 1.12 states/eV per atom

Cell: 2.8469 2.8469 32.6527 Å, 90.00 90.00 120.00°
Space group R-3m (No. 166, hexagonal axes)
Inequivalent atoms, fractional coordinates:
Sr (0.0000, 0.0000, 0.0000) (multiplicity 3)
Li (0.0000, 0.0000, 0.5000) (multiplicity 3)
W (0.0000, 0.0000, 0.2428) (multiplicity 6)



7.
Material: TiTcPt2
Method: DFT, PBE
State: relaxed

Properties
**Magnetic moment**: 6.4 Bohr magnetons per cell
**ΔE to the lowest computed polymorph**: 0.425 eV per atom
**Total energy**: -7.805 eV/atom
**DOS(E_F)**: 1.51 states/eV per atom

Cell: 6.3306 6.3306 6.3306 Å, 90.00 90.00 90.00°
Space group Fm-3m (No. 225)
Inequivalent atoms, fractional coordinates:
Ti (0.0000, 0.0000, 0.0000) (multiplicity 4)
Tc (0.0000, 0.0000, 0.5000) (multiplicity 4)
Pt (0.2500, 0.2500, 0.2500) (multiplicity 8)



8.
Material: Ca3Mo2N4
Method: DFT, PBE
State: relaxed

Properties
**Magnetic moment**: 0.0 Bohr magnetons per cell
**Formation energy from raw total energies**: -636 meV/atom
**Total energy**: -7.410 eV/atom
**DOS(E_F)**: 0.24 states/eV per atom

Cell: 10.5279 9.5605 5.4851 Å, 90.00 95.29 90.00°
Space group C2/c (No. 15)
Inequivalent atoms, fractional coordinates:
Ca (0.0000, 0.0662, 0.2500) (multiplicity 4)
Ca (0.1003, 0.3278, 0.5118) (multiplicity 8)
Mo (0.2376, 0.1111, 0.9352) (multiplicity 8)
N (0.1160, 0.2490, 0.0751) (multiplicity 8)
N (0.1764, 0.0754, 0.5983) (multiplicity 8)



9.
Material: Be3Mo
Method: DFT, PBE
State: relaxed

Properties
**Magnetic moment**: 0.0 Bohr magnetons per cell
**ΔE to the lowest computed polymorph**: 0.337 eV per atom
**Total energy**: -5.398 eV/atom
**DOS(E_F)**: 0.37 states/eV per atom

Cell: 2.5723 3.6022 4.6825 Å, 90.00 103.02 90.00°
Space group P2/m (No. 10)
Inequivalent atoms, fractional coordinates:
Be (0.0000, 0.0000, 0.0000) (multiplicity 1)
Be (0.1499, 0.5000, 0.7718) (multiplicity 2)
Mo (0.5000, 0.0000, 0.5000) (multiplicity 1)



10.
Material: VPH3
Method: DFT, PBE
State: relaxed

Properties
**Magnetic moment**: 0.9 Bohr magnetons per cell
**ΔE to the lowest computed polymorph**: 0.000 eV per atom
**Total energy**: -4.464 eV/atom
**DOS(E_F)**: 0.53 states/eV per atom

Cell: 3.4022 3.4022 3.4022 Å, 90.00 90.00 90.00°
Space group Pm-3m (No. 221)
Inequivalent atoms, fractional coordinates:
V (0.0000, 0.0000, 0.0000) (multiplicity 1)
P (0.5000, 0.5000, 0.5000) (multiplicity 1)
H (0.0000, 0.0000, 0.5000) (multiplicity 3)



11.
Material: ReTcAu
Method: DFT, PBE
State: relaxed

Properties
**Magnetic moment**: 0.0 Bohr magnetons per cell
**ΔE to the lowest computed polymorph**: 0.216 eV per atom
**Total energy**: -8.314 eV/atom
**DOS(E_F)**: 0.68 states/eV per atom

Cell: 3.2725 3.2725 8.9577 Å, 90.00 90.00 90.00°
Space group I4mm (No. 107)
Inequivalent atoms, fractional coordinates:
Re (0.0000, 0.0000, 0.0000) (multiplicity 2)
Tc (0.0000, 0.0000, 0.3667) (multiplicity 2)
Au (0.0000, 0.0000, 0.6831) (multiplicity 2)



12.
Material: NbNiP2Cl
Method: DFT, PBE
State: relaxed

Properties
**Magnetic moment**: 0.0 Bohr magnetons per cell
**ΔE to the lowest computed polymorph**: 0.049 eV per atom
**Formation energy from raw total energies**: 609 meV/atom
**Total energy**: -5.094 eV/atom
**DOS(E_F)**: 3.02 states/eV per atom

Cell: 4.8450 4.8450 4.7716 Å, 90.00 90.00 90.00°
Space group P4/mmm (No. 123)
Inequivalent atoms, fractional coordinates:
Nb (0.0000, 0.0000, 0.0000) (multiplicity 1)
Ni (0.5000, 0.5000, 0.5000) (multiplicity 1)
P (0.0000, 0.5000, 0.0000) (multiplicity 2)
Cl (0.0000, 0.0000, 0.5000) (multiplicity 1)



13.
Material: Hf2Ti3Ge4
Method: DFT, PBE
State: relaxed

Properties
**Magnetic moment**: 0.0 Bohr magnetons per cell
**ΔE to the lowest computed polymorph**: 0.000 eV per atom
**Total energy**: -7.657 eV/atom
**DOS(E_F)**: 0.70 states/eV per atom

Cell: 6.9393 6.9259 6.7781 Å, 90.00 110.01 90.00°
Space group P2_1/c (No. 14)
Inequivalent atoms, fractional coordinates:
Hf (0.1878, 0.1719, 0.0569) (multiplicity 4)
Ti (0.2502, 0.6738, 0.2445) (multiplicity 4)
Ti (0.5000, 0.0000, 0.5000) (multiplicity 2)
Ge (0.0816, 0.5366, 0.8482) (multiplicity 4)
Ge (0.4904, 0.1333, 0.8628) (multiplicity 4)



14.
Material: CaAc2Th
Method: DFT, PBE
State: relaxed

Properties
**Magnetic moment**: 0.0 Bohr magnetons per cell
**ΔE to the lowest computed polymorph**: 0.009 eV per atom
**Total energy**: -4.327 eV/atom
**DOS(E_F)**: 1.35 states/eV per atom

Cell: 3.8320 3.8320 38.2362 Å, 90.00 90.00 120.00°
Space group R3m (No. 160, hexagonal axes)
Inequivalent atoms, fractional coordinates:
Ca (0.0000, 0.0000, 0.0000) (multiplicity 3)
Ac (0.0000, 0.0000, 0.2451) (multiplicity 3)
Ac (0.0000, 0.0000, 0.4225) (multiplicity 3)
Th (0.0000, 0.0000, 0.8337) (multiplicity 3)



15.
Material: La2Pm3Dy6Er
Method: DFT, PBE
State: relaxed

Properties
**Magnetic moment**: 0.0 Bohr magnetons per cell
**Total energy**: -4.674 eV/atom
**DOS(E_F)**: 1.22 states/eV per atom

Cell: 6.2469 10.8189 11.8811 Å, 90.00 100.07 90.00°
Space group C2/m (No. 12)
Inequivalent atoms, fractional coordinates:
La (0.0000, 0.1663, 0.0000) (multiplicity 4)
Pm (0.0000, 0.0000, 0.5000) (multiplicity 2)
Pm (0.0000, 0.3333, 0.5000) (multiplicity 4)
Dy (0.2479, 0.5000, 0.7486) (multiplicity 4)
Dy (0.2499, 0.1661, 0.7490) (multiplicity 8)
Er (0.0000, 0.5000, 0.0000) (multiplicity 2)



16.
Material: Y7Tm2Sc2
Method: DFT, PBE
State: relaxed

Properties
**Magnetic moment**: 0.0 Bohr magnetons per cell
**ΔE to the lowest computed polymorph**: 0.000 eV per atom
**Total energy**: -5.997 eV/atom
**DOS(E_F)**: 1.35 states/eV per atom

Cell: 22.6314 3.5992 8.8332 Å, 90.00 109.57 90.00°
Space group C2/m (No. 12)
Inequivalent atoms, fractional coordinates:
Y (0.0000, 0.0000, 0.0000) (multiplicity 2)
Y (0.0493, 0.0000, 0.4100) (multiplicity 4)
Y (0.1887, 0.0000, 0.0130) (multiplicity 4)
Y (0.2018, 0.0000, 0.6339) (multiplicity 4)
Tm (0.1381, 0.5000, 0.2615) (multiplicity 4)
Sc (0.0805, 0.5000, 0.7483) (multiplicity 4)



17.
Material: LiGdHgPt
Method: DFT, PBE
State: relaxed

Properties
**Magnetic moment**: 28.8 Bohr magnetons per cell
**Total energy**: -6.199 eV/atom
**DOS(E_F)**: 0.50 states/eV per atom

Cell: 6.9231 6.9231 6.9231 Å, 90.00 90.00 90.00°
Space group F-43m (No. 216)
Inequivalent atoms, fractional coordinates:
Li (0.0000, 0.0000, 0.0000) (multiplicity 4)
Gd (0.0000, 0.0000, 0.5000) (multiplicity 4)
Hg (0.2500, 0.2500, 0.7500) (multiplicity 4)
Pt (0.2500, 0.2500, 0.2500) (multiplicity 4)



18.
Material: NbNiAu3
Method: DFT, PBE
State: relaxed

Properties
**Magnetic moment**: 0.1 Bohr magnetons per cell
**ΔE to the lowest computed polymorph**: 0.547 eV per atom
**Total energy**: -3.726 eV/atom
**DOS(E_F)**: 1.99 states/eV per atom

Cell: 5.0985 5.0985 5.0985 Å, 90.00 90.00 90.00°
Space group Pm-3m (No. 221)
Inequivalent atoms, fractional coordinates:
Nb (0.0000, 0.0000, 0.0000) (multiplicity 1)
Ni (0.5000, 0.5000, 0.5000) (multiplicity 1)
Au (0.0000, 0.0000, 0.5000) (multiplicity 3)



19.
Material: CsPaI
Method: DFT, PBE
State: relaxed

Properties
**Magnetic moment**: 2.8 Bohr magnetons per cell
**Formation energy from raw total energies**: -191 meV/atom
**Total energy**: -4.158 eV/atom
**DOS(E_F)**: 1.31 states/eV per atom

Cell: 33.4275 4.1108 3.8860 Å, 90.00 95.57 90.00°
Space group C2/m (No. 12)
Inequivalent atoms, fractional coordinates:
Cs (0.0744, 0.0000, 0.4721) (multiplicity 4)
Pa (0.2301, 0.5000, 0.6338) (multiplicity 4)
I (0.1483, 0.5000, 0.0364) (multiplicity 4)



20.
Material: SrSiPt2
Method: DFT, PBE
State: relaxed

Properties
**Magnetic moment**: 0.0 Bohr magnetons per cell
**Formation energy from raw total energies**: -834 meV/atom
**Total energy**: -5.631 eV/atom
**DOS(E_F)**: 0.49 states/eV per atom

Cell: 4.2566 4.2566 16.5398 Å, 90.00 90.00 120.00°
Space group R-3m (No. 166, hexagonal axes)
Inequivalent atoms, fractional coordinates:
Sr (0.0000, 0.0000, 0.0000) (multiplicity 3)
Si (0.0000, 0.0000, 0.5000) (multiplicity 3)
Pt (0.0000, 0.0000, 0.2012) (multiplicity 6)